Record 1
{
  "formula": "NbGeSbI2",
  "functional": "GGA-PBE",
  "state": "optimized geometry",
  "cell": [[-0.552, 1.192, 5.348], [4.445, -3.045, 1.138], [3.209, 4.438, -0.658]],
  "species": ["Sb", "I", "I", "Ge", "Nb"],
  "frac_coords": [[0.000, 0.000, 0.500], [0.500, 0.000, 0.000], [0.000, 0.500, 0.000], [0.000, 0.000, 0.000], [0.500, 0.500, 0.500]],
  "magmom_total_mub_per_cell": 2.5,
  "raw_formation_energy_ev_per_atom": 1.02,
  "polymorph_energy_mev_per_atom": 431.0
}

=====

Record 2
{
  "formula": "Ag4PCl",
  "functional": "GGA-PBE",
  "state": "optimized geometry",
  "cell": [[0.000, 3.916, 3.916], [3.916, 0.000, 3.916], [3.916, 3.916, 0.000]],
  "species": ["Ag", "Ag", "Ag", "Ag", "P", "Cl"],
  "frac_coords": [[0.374, 0.374, 0.374], [0.374, 0.374, 0.877], [0.877, 0.374, 0.374], [0.374, 0.877, 0.374], [0.000, 0.000, 0.000], [0.750, 0.750, 0.750]],
  "magmom_total_mub_per_cell": 0.0,
  "raw_formation_energy_ev_per_atom": 0.46
}

=====

Record 3
{
  "formula": "Sm2DyTh3",
  "functional": "GGA-PBE",
  "state": "optimized geometry",
  "cell": [[6.765, 0.000, 0.000], [0.000, 9.874, -5.656], [0.000, -2.384, 7.285]],
  "species": ["Th", "Th", "Th", "Th", "Th", "Th", "Sm", "Sm", "Sm", "Sm", "Dy", "Dy"],
  "frac_coords": [[0.500, 0.500, 0.000], [0.000, 0.166, 0.332], [0.000, 0.500, 0.000], [0.500, 0.834, 0.668], [0.500, 0.166, 0.332], [0.000, 0.834, 0.668], [0.750, 0.103, 0.666], [0.750, 0.437, 0.334], [0.250, 0.563, 0.666], [0.250, 0.897, 0.334], [0.750, 0.771, 0.000], [0.250, 0.229, 0.000]],
  "magmom_total_mub_per_cell": 0.0,
  "formation_energy_ev_per_fu": 1.14
}

=====

Record 4
{
  "formula": "LaGaSbI2",
  "functional": "GGA-PBE",
  "state": "optimized geometry",
  "cell": [[-5.442, -1.153, -0.312], [1.005, -5.206, 1.711], [-0.641, 1.601, 5.251]],
  "species": ["Ga", "I", "I", "Sb", "La"],
  "frac_coords": [[0.000, 0.000, 0.000], [0.500, 0.000, 0.000], [0.000, 0.500, 0.000], [0.000, 0.000, 0.500], [0.500, 0.500, 0.500]],
  "magmom_total_mub_per_cell": 0.2,
  "raw_formation_energy_ev_per_atom": -0.30,
  "polymorph_energy_mev_per_atom": 74.6
}

=====

Record 5
{
  "formula": "CaPr3Sn4",
  "functional": "GGA-PBE",
  "state": "optimized geometry",
  "cell": [[-0.731, 2.767, 2.614], [-6.008, -3.575, 2.106], [8.232, -4.134, 3.803]],
  "species": ["Sn", "Sn", "Sn", "Sn", "Pr", "Pr", "Pr", "Ca"],
  "frac_coords": [[0.628, 0.424, 0.257], [0.628, 0.832, 0.257], [0.372, 0.168, 0.743], [0.372, 0.576, 0.743], [0.209, 0.209, 0.418], [0.000, 0.500, 0.000], [0.791, 0.791, 0.582], [0.500, 0.000, 0.000]],
  "magmom_total_mub_per_cell": 0.0,
  "formation_energy_ev_per_fu": -4.64
}

=====

Record 6
{
  "formula": "CdGaI",
  "functional": "GGA-PBE",
  "state": "optimized geometry",
  "cell": [[5.399, 0.000, 0.000], [0.000, 4.587, 0.000], [0.000, -2.293, 3.972]],
  "species": ["Cd", "I", "Ga"],
  "frac_coords": [[0.282, 0.333, 0.667], [0.695, 0.667, 0.333], [0.023, 0.000, 0.000]],
  "magmom_total_mub_per_cell": 0.0,
  "raw_formation_energy_ev_per_atom": -0.09,
  "polymorph_energy_mev_per_atom": 10.2
}

=====

Record 7
{
  "formula": "YReHg2",
  "functional": "GGA-PBE",
  "state": "optimized geometry",
  "cell": [[10.306, 0.007, 0.004], [9.846, 3.045, 0.004], [9.846, 1.491, 2.655]],
  "species": ["Hg", "Hg", "Re", "Y"],
  "frac_coords": [[0.994, 0.994, 0.994], [0.506, 0.506, 0.506], [0.250, 0.250, 0.250], [0.750, 0.750, 0.750]],
  "magmom_total_mub_per_cell": 0.0,
  "formation_energy_ev_per_fu": 2.26,
  "polymorph_energy_mev_per_atom": 280.1
}

=====

Record 8
{
  "formula": "Cs2K2Tl3",
  "functional": "GGA-PBE",
  "state": "optimized geometry",
  "cell": [[6.420, 0.000, 0.000], [-3.210, 7.666, -0.784], [0.000, -4.847, 7.596]],
  "species": ["Tl", "Tl", "Tl", "K", "K", "Cs", "Cs"],
  "frac_coords": [[0.539, 0.078, 0.377], [0.461, 0.922, 0.623], [0.500, 0.000, 0.000], [0.853, 0.706, 0.714], [0.147, 0.294, 0.286], [0.828, 0.656, 0.209], [0.172, 0.344, 0.791]],
  "magmom_total_mub_per_cell": 0.0,
  "formation_energy_ev_per_fu": -0.47
}